Entry 1:
The following is a DFT calculation (PBE) of crystalline Nb2W4C3S3 at its relaxed geometry.

Summary:
The calculation puts the total DFT energy (no corrections) at -228.56 eV for the cell shown. The space group is C2/c. The size of the total moment comes out at 0.00 μB/cell.

Lattice parameters (Å, degrees): 5.710 5.710 11.999 102.36 102.36 58.92
Sites, in units of the cell vectors:
Nb: 0.040 0.887 0.607
Nb: 0.113 0.960 0.893
Nb: 0.887 0.040 0.107
Nb: 0.960 0.113 0.393
W: 0.188 0.326 0.087
W: 0.284 0.497 0.416
W: 0.326 0.188 0.587
W: 0.497 0.284 0.916
W: 0.503 0.716 0.084
W: 0.674 0.812 0.413
W: 0.716 0.503 0.584
W: 0.812 0.674 0.913
C: 0.000 0.500 0.500
C: 0.182 0.636 0.007
C: 0.364 0.818 0.493
C: 0.500 0.000 0.000
C: 0.636 0.182 0.507
C: 0.818 0.364 0.993
S: 0.086 0.269 0.753
S: 0.269 0.086 0.253
S: 0.433 0.567 0.750
S: 0.567 0.433 0.250
S: 0.731 0.914 0.747
S: 0.914 0.731 0.247

***

Entry 2:
The following is a DFT calculation (PBE) of crystalline H6PtN2Cl2 at its relaxed geometry.

Summary:
The calculation puts the total DFT energy (no corrections) at -207.22 eV for the cell shown. The space group is P4/mnc. The size of the total moment comes out at 0.01 μB/cell.

Lattice parameters (Å, degrees): 8.964 8.964 6.375 90.00 90.00 90.00
Sites, in units of the cell vectors:
H: 0.028 0.293 0.000
H: 0.124 0.755 0.130
H: 0.124 0.755 0.870
H: 0.207 0.472 0.500
H: 0.245 0.124 0.130
H: 0.245 0.124 0.870
H: 0.255 0.624 0.370
H: 0.255 0.624 0.630
H: 0.293 0.972 0.000
H: 0.376 0.255 0.370
H: 0.376 0.255 0.630
H: 0.472 0.793 0.500
H: 0.528 0.207 0.500
H: 0.624 0.745 0.370
H: 0.624 0.745 0.630
H: 0.707 0.028 0.000
H: 0.745 0.376 0.370
H: 0.745 0.376 0.630
H: 0.755 0.876 0.130
H: 0.755 0.876 0.870
H: 0.793 0.528 0.500
H: 0.876 0.245 0.130
H: 0.876 0.245 0.870
H: 0.972 0.707 0.000
Pt: 0.000 0.000 0.000
Pt: 0.000 0.000 0.500
Pt: 0.500 0.500 0.000
Pt: 0.500 0.500 0.500
N: 0.062 0.779 0.000
N: 0.221 0.062 0.000
N: 0.279 0.562 0.500
N: 0.438 0.279 0.500
N: 0.562 0.721 0.500
N: 0.721 0.438 0.500
N: 0.779 0.938 0.000
N: 0.938 0.221 0.000
Cl: 0.054 0.255 0.500
Cl: 0.245 0.446 0.000
Cl: 0.255 0.946 0.500
Cl: 0.446 0.755 0.000
Cl: 0.554 0.245 0.000
Cl: 0.745 0.054 0.500
Cl: 0.755 0.554 0.000
Cl: 0.946 0.745 0.500

***

Entry 3:
The following is a DFT calculation (PBE) of crystalline Li2FeTcH6 at its relaxed geometry.

Summary:
The calculation puts the total DFT energy (no corrections) at -42.67 eV for the cell shown. The space group is Fm-3m. The size of the total moment comes out at 2.44 μB/cell.

Lattice parameters (Å, degrees): 4.711 4.711 4.711 60.00 60.00 60.00
Sites, in units of the cell vectors:
Li: 0.250 0.250 0.250
Li: 0.750 0.750 0.750
Fe: 0.000 0.000 0.000
Tc: 0.500 0.500 0.500
H: 0.239 0.239 0.761
H: 0.239 0.761 0.239
H: 0.239 0.761 0.761
H: 0.761 0.239 0.239
H: 0.761 0.239 0.761
H: 0.761 0.761 0.239

***

Entry 4:
The following is a DFT calculation (PBE) of crystalline SrAg2P2Pb at its relaxed geometry.

Summary:
The calculation puts the total DFT energy (no corrections) at -23.90 eV for the cell shown. The space group is P3m1.

Lattice parameters (Å, degrees): 4.401 4.401 8.281 90.00 90.00 120.00
Sites, in units of the cell vectors:
Sr: 0.000 0.000 0.000
Ag: 0.333 0.667 0.270
Ag: 0.667 0.333 0.732
P: 0.333 0.667 0.760
P: 0.667 0.333 0.233
Pb: 0.000 0.000 0.499

***

Entry 5:
The following is a DFT calculation (PBE) of crystalline Pm3Si4Au4 at its relaxed geometry.

Summary:
The calculation puts the total DFT energy (no corrections) at -57.23 eV for the cell shown. The space group is C2/m. The size of the total moment comes out at 0.01 μB/cell.

Lattice parameters (Å, degrees): 12.959 12.959 4.239 99.41 99.41 19.01
Sites, in units of the cell vectors:
Pm: 0.000 0.000 0.000
Pm: 0.352 0.352 0.852
Pm: 0.648 0.648 0.148
Si: 0.191 0.191 0.691
Si: 0.453 0.453 0.455
Si: 0.547 0.547 0.545
Si: 0.809 0.809 0.309
Au: 0.094 0.094 0.595
Au: 0.250 0.250 0.250
Au: 0.750 0.750 0.750
Au: 0.906 0.906 0.405

***

Entry 6:
The following is a DFT calculation (PBE) of crystalline SrFeAgS3 at its relaxed geometry.

Summary:
The space group is P2_1/m. The size of the total moment comes out at 9.08 μB/cell. Its offset from the most stable computed form is 0 meV per atom.

Lattice parameters (Å, degrees): 7.208 3.737 9.998 90.00 109.97 90.00
Sites, in units of the cell vectors:
Sr: 0.236 0.250 0.215
Sr: 0.764 0.750 0.785
Fe: 0.183 0.750 0.611
Fe: 0.817 0.250 0.389
Ag: 0.368 0.250 0.887
Ag: 0.632 0.750 0.113
S: 0.044 0.750 0.365
S: 0.207 0.750 0.979
S: 0.410 0.250 0.645
S: 0.590 0.750 0.355
S: 0.793 0.250 0.021
S: 0.956 0.250 0.635

***

Entry 7:
The following is a DFT calculation (PBE) of crystalline HfGePO at its relaxed geometry.

Summary:
The space group is Pmc2_1. The size of the total moment comes out at 0.00 μB/cell. Its offset from the most stable computed form is 98 meV per atom.

Lattice parameters (Å, degrees): 3.778 5.836 7.135 90.00 90.00 90.00
Sites, in units of the cell vectors:
Hf: 0.000 0.086 0.000
Hf: 0.000 0.914 0.500
Ge: 0.500 0.290 0.587
Ge: 0.500 0.710 0.087
P: 0.500 0.371 0.912
P: 0.500 0.629 0.412
O: 0.000 0.112 0.273
O: 0.000 0.888 0.773

***

Entry 8:
The following is a DFT calculation (PBE) of crystalline AlCuGeH6 at its relaxed geometry.

Summary:
The calculation puts the total DFT energy (no corrections) at -26.09 eV for the cell shown. The space group is F-43m.

Lattice parameters (Å, degrees): 4.734 4.734 4.734 60.00 60.00 60.00
Sites, in units of the cell vectors:
Al: 0.000 0.000 0.000
Cu: 0.500 0.500 0.500
Ge: 0.750 0.750 0.750
H: 0.011 0.011 0.489
H: 0.011 0.489 0.011
H: 0.011 0.489 0.489
H: 0.489 0.011 0.011
H: 0.489 0.011 0.489
H: 0.489 0.489 0.011

***

| no. | density (kg/m3) |
| --- | --- |
| 1 | 10771 |
| 2 | 3891 |
| 3 | 3903 |
| 4 | 6845 |
| 5 | 9693 |
| 6 | 4559 |
| 7 | 6294 |
| 8 | 3745 |